Material: EuScCdPt
Method: DFT, GGA-PBE
State: relaxed

The calculation puts the formation energy at -0.5503 eV/atom.

The space group is F-43m (No. 216) and the conventional cell measures 7.130, 7.130 and 7.130 Å, with angles of 90.00, 90.00 and 90.00 degrees. Symmetry generates all atoms from Eu at (0.000, 0.000, 0.000), Sc at (0.000, 0.000, 0.500), Cd at (0.250, 0.250, 0.250) and Pt at (0.250, 0.250, 0.750).

Material: AcAlIn2
Method: DFT, GGA-PBE
State: relaxed

For the energy above the lowest structure with this stoichiometry, the calculation gives 0.0 kJ/mol of formula units. The calculation puts the formation energy at -0.3589 eV/atom.

The space group is Cmcm (No. 63) and the conventional cell measures 4.743, 19.692 and 4.782 Å, with angles of 90.00, 90.00 and 90.00 degrees. Symmetry generates all atoms from Ac at (0.000, 0.105, 0.250), Al at (0.000, 0.329, 0.250), In at (0.000, 0.250, 0.750) and In at (0.000, 0.463, 0.250).

Material: LaZr2Pa
Method: DFT, GGA-PBE
State: relaxed

For the energy above the lowest structure with this stoichiometry, the calculation gives 45.3 kJ/mol of formula units. The calculation puts the formation energy at 0.2711 eV/atom.

The space group is R-3m (No. 166, hexagonal axes) and the conventional cell measures 3.2503, 3.2503 and 35.0196 Å, with angles of 90.00, 90.00 and 120.00 degrees. Symmetry generates all atoms from La at (0.0000, 0.0000, 0.0000), Zr at (0.0000, 0.0000, 0.0910) and Pa at (0.0000, 0.0000, 0.5000).

Material: SmPaCdGe
Method: DFT, GGA-PBE
State: relaxed

The calculation puts the formation energy at -0.1249 eV/atom.

The space group is F-43m (No. 216) and the conventional cell measures 7.359, 7.359 and 7.359 Å, with angles of 90.00, 90.00 and 90.00 degrees. Symmetry generates all atoms from Sm at (0.000, 0.000, 0.000), Pa at (0.000, 0.000, 0.500), Cd at (0.250, 0.250, 0.750) and Ge at (0.250, 0.250, 0.250).

Material: Cd2SiPt2
Method: DFT, GGA-PBE
State: relaxed

For the energy above the lowest structure with this stoichiometry, the calculation gives 0.0 kJ/mol of formula units. The calculation puts the formation energy (no corrections) at -0.329 eV per atom.

The space group is P4/mbm (No. 127) and the conventional cell measures 6.392, 6.392 and 4.457 Å, with angles of 90.00, 90.00 and 90.00 degrees. Symmetry generates all atoms from Cd at (0.158, 0.342, 0.000), Si at (0.000, 0.000, 0.500) and Pt at (0.157, 0.657, 0.500).

Material: NaTm4ScS8
Method: DFT, GGA-PBE
State: relaxed

The calculation puts the formation energy (no corrections) at -1.924 eV per atom.

The space group is R3m (No. 160, hexagonal axes) and the conventional cell measures 7.9759, 7.9759 and 19.2058 Å, with angles of 90.00, 90.00 and 120.00 degrees. Symmetry generates all atoms from Na at (0.0000, 0.0000, 0.0000), Tm at (0.0000, 0.0000, 0.2461), Tm at (0.1725, 0.3450, 0.4547), Sc at (0.0000, 0.0000, 0.6293), S at (0.0000, 0.0000, 0.3804), S at (0.0000, 0.0000, 0.8622), S at (0.0362, 0.5181, 0.3728) and S at (0.1797, 0.3594, 0.2049).

Material: Li2CrCd
Method: DFT, GGA-PBE
State: relaxed

The calculation puts the formation energy at 0.4058 eV/atom.

The space group is P4/mmm (No. 123) and the conventional cell measures 2.682, 2.682 and 8.856 Å, with angles of 90.00, 90.00 and 90.00 degrees. Symmetry generates all atoms from Li at (0.000, 0.000, 0.239), Cr at (0.500, 0.500, 0.000) and Cd at (0.500, 0.500, 0.500).

Material: Gd2DyPd
Method: DFT, GGA-PBE
State: relaxed

For the energy above the lowest structure with this stoichiometry, the calculation gives 39.9 kJ/mol of formula units. The calculation puts the formation energy at -0.2742 eV/atom.

The space group is R-3m (No. 166, hexagonal axes) and the conventional cell measures 3.6972, 3.6972 and 29.2858 Å, with angles of 90.00, 90.00 and 120.00 degrees. Symmetry generates all atoms from Gd at (0.0000, 0.0000, 0.2333), Dy at (0.0000, 0.0000, 0.0000) and Pd at (0.0000, 0.0000, 0.5000).

Material: Na3Tl5Hg12
Method: DFT, GGA-PBE
State: relaxed

The calculation puts the formation energy at 0.0566 eV/atom.

The space group is Ia-3d (No. 230) and the conventional cell measures 17.882, 17.882 and 17.882 Å, with angles of 90.00, 90.00 and 90.00 degrees. Symmetry generates all atoms from Na at (0.000, 0.250, 0.125), Tl at (0.000, 0.000, 0.000), Tl at (0.000, 0.250, 0.375) and Hg at (0.005, 0.078, 0.656).

Material: NdYMgZr
Method: DFT, GGA-PBE
State: relaxed

The calculation puts the formation energy at 0.1294 eV/atom.

The space group is F-43m (No. 216) and the conventional cell measures 7.660, 7.660 and 7.660 Å, with angles of 90.00, 90.00 and 90.00 degrees. Symmetry generates all atoms from Nd at (0.000, 0.000, 0.000), Y at (0.000, 0.000, 0.500), Mg at (0.250, 0.250, 0.250) and Zr at (0.250, 0.250, 0.750).

Material: Ca2YHg5
Method: DFT, GGA-PBE
State: relaxed

The calculation puts the formation energy at -0.4464 eV/atom.

The space group is I4/mmm (No. 139) and the conventional cell measures 5.286, 5.286 and 14.623 Å, with angles of 90.00, 90.00 and 90.00 degrees. Symmetry generates all atoms from Ca at (0.000, 0.000, 0.240), Y at (0.000, 0.000, 0.500), Hg at (0.000, 0.000, 0.000) and Hg at (0.000, 0.500, 0.123).

Material: ZrSiAg2
Method: DFT, GGA-PBE
State: relaxed

The calculation puts the formation energy (no corrections) at -0.068 eV per atom.

The space group is Cmm2 (No. 35) and the conventional cell measures 4.127, 4.530 and 7.737 Å, with angles of 90.00, 90.00 and 90.00 degrees. Symmetry generates all atoms from Zr at (0.000, 0.000, 0.000), Si at (0.000, 0.500, 0.236), Ag at (0.000, 0.000, 0.457) and Ag at (0.000, 0.500, 0.720).